#P
{
  "formula": "AsPbW2",
  "functional": "meta-GGA SCAN",
  "state": "PBEsol geometry",
  "magnetic_moment_mub_per_atom": 0.00,
  "crystal_system": "monoclinic",
  "mass_density_kg_m3": 15064,
  "cell": [[-1.083, -2.464, -1.527], [4.255, -2.282, 2.101], [-3.966, 1.212, 3.272]],
  "species": ["Pb", "As", "W", "W"],
  "fractional_positions": [[0.000, 0.500, 0.000], [0.500, 0.000, 0.000], [0.000, 0.000, 0.500], [0.500, 0.500, 0.500]]
}

#Q
{
  "formula": "AsPbW2",
  "functional": "meta-GGA SCAN",
  "state": "PBEsol geometry",
  "magnetic_moment_mub_per_atom": 0.00,
  "crystal_system": "tetragonal",
  "mass_density_kg_m3": 15848,
  "cell": [[-0.959, -2.935, -1.033], [0.676, -1.697, 4.193], [-4.318, 1.021, 1.109]],
  "species": ["Pb", "As", "W", "W"],
  "fractional_positions": [[0.500, 0.000, 0.000], [0.500, 0.500, 0.500], [0.000, 0.000, 0.500], [0.000, 0.500, 0.000]]
}

Least stable: #P

#P
{
  "formula": "Zn2As2Pb",
  "functional": "meta-GGA SCAN",
  "state": "PBEsol geometry",
  "magnetic_moment_mub_per_atom": 0.00,
  "crystal_system": "tetragonal",
  "mass_density_kg_m3": 8031,
  "cell": [[4.307, 0.000, 0.000], [0.000, 4.307, 0.000], [-2.153, -2.153, 5.438]],
  "species": ["Pb", "As", "As", "Zn", "Zn"],
  "fractional_positions": [[0.000, 0.000, 0.000], [0.250, 0.750, 0.500], [0.750, 0.250, 0.500], [0.389, 0.389, 0.778], [0.611, 0.611, 0.222]]
}

#Q
{
  "formula": "Zn2As2Pb",
  "functional": "meta-GGA SCAN",
  "state": "PBEsol geometry",
  "magnetic_moment_mub_per_atom": 0.00,
  "crystal_system": "tetragonal",
  "mass_density_kg_m3": 7866,
  "cell": [[-0.622, -3.484, -1.632], [-1.606, -1.267, 3.317], [-4.968, 4.467, -2.989]],
  "species": ["Pb", "As", "As", "Zn", "Zn"],
  "fractional_positions": [[0.000, 0.000, 0.000], [0.372, 0.372, 0.745], [0.628, 0.628, 0.255], [0.250, 0.750, 0.500], [0.750, 0.250, 0.500]]
}

Least stable: #P

#P
{
  "formula": "ZnAsPb",
  "functional": "meta-GGA SCAN",
  "state": "PBEsol geometry",
  "magnetic_moment_mub_per_atom": 0.00,
  "crystal_system": "tetragonal",
  "mass_density_kg_m3": 8823,
  "cell": [[-1.493, 0.205, -3.149], [0.104, -3.478, -0.276], [-4.155, 1.312, 3.990]],
  "species": ["As", "Pb", "Zn"],
  "fractional_positions": [[0.956, 0.956, 0.913], [0.669, 0.669, 0.338], [0.375, 0.375, 0.749]]
}

#Q
{
  "formula": "ZnAsPb",
  "functional": "meta-GGA SCAN",
  "state": "PBEsol geometry",
  "magnetic_moment_mub_per_atom": 0.00,
  "crystal_system": "cubic",
  "mass_density_kg_m3": 7403,
  "cell": [[4.795, 0.000, 0.000], [2.397, 4.153, 0.000], [2.397, 1.384, 3.915]],
  "species": ["As", "Pb", "Zn"],
  "fractional_positions": [[0.500, 0.500, 0.500], [0.250, 0.250, 0.250], [0.000, 0.000, 0.000]]
}

Least stable: #Q

#P
{
  "formula": "ZrAsPb",
  "functional": "meta-GGA SCAN",
  "state": "PBEsol geometry",
  "magnetic_moment_mub_per_atom": 0.00,
  "crystal_system": "hexagonal",
  "mass_density_kg_m3": 8817,
  "cell": [[3.920, 0.000, 0.000], [0.000, 4.551, 0.000], [0.000, -2.276, 3.941]],
  "species": ["Pb", "As", "Zr"],
  "fractional_positions": [[0.000, 0.667, 0.333], [0.500, 0.000, 0.000], [0.500, 0.333, 0.667]]
}

#Q
{
  "formula": "ZrAsPb",
  "functional": "meta-GGA SCAN",
  "state": "PBEsol geometry",
  "magnetic_moment_mub_per_atom": 0.00,
  "crystal_system": "cubic",
  "mass_density_kg_m3": 8417,
  "cell": [[4.705, 0.000, 0.000], [2.353, 4.075, 0.000], [2.353, 1.358, 3.842]],
  "species": ["Pb", "As", "Zr"],
  "fractional_positions": [[0.000, 0.000, 0.000], [0.750, 0.750, 0.750], [0.500, 0.500, 0.500]]
}

Least stable: #Q